A relaxed Th5Sb4S crystal. Source: the Alexandria database, functional PBE.

The structure belongs to space group I4/mmm (No. 139); the cell edges are 4.4222, 4.4222 and 31.3312 Å and the angles 90.00°, 90.00° and 90.00°. The distinct sites, in fractional coordinates, are Th at (0.0000, 0.0000, 0.0000), Th at (0.0000, 0.0000, 0.2041), Th at (0.0000, 0.0000, 0.4102), Sb at (0.0000, 0.0000, 0.1017), Sb at (0.0000, 0.0000, 0.3065) and S at (0.0000, 0.0000, 0.5000).

The value obtained for the density of states at the Fermi level is 8.54 states/eV/f.u. The value obtained for the raw formation energy is -1.021 eV/atom. The calculation puts the volume at 612.70 Å³ per cell.